# SmEuTl2 | the Alexandria database | PBE-GGA | relaxed
# DFT formation energy, kJ per mole of atoms: -36.29
# M_tot, Bohr magnetons per cell: 30.02
data_SmEuTl2
_symmetry_space_group_name_H-M 'F m -3 m'
_symmetry_Int_Tables_number 225
_symmetry_space_group_name_Hall '-F 4 2 3'
_cell_length_a 7.835
_cell_length_b 7.835
_cell_length_c 7.835
_cell_angle_alpha 90.00
_cell_angle_beta 90.00
_cell_angle_gamma 90.00
loop_
_atom_site_label
_atom_site_type_symbol
_atom_site_fract_x
_atom_site_fract_y
_atom_site_fract_z
Sm1 Sm 0.000 0.000 0.000
Eu1 Eu 0.000 0.000 0.500
Tl1 Tl 0.250 0.250 0.250

# YMo | the Alexandria database | PBE-GGA | relaxed
# DFT formation energy, kJ per mole of atoms: 34.57
# M_tot, Bohr magnetons per cell: 0.00
data_YMo
_symmetry_space_group_name_H-M 'P m n 21'
_symmetry_Int_Tables_number 31
_cell_length_a 13.723
_cell_length_b 3.330
_cell_length_c 6.309
_cell_angle_alpha 90.00
_cell_angle_beta 90.00
_cell_angle_gamma 90.00
loop_
_symmetry_equiv_pos_as_xyz
'x,y,z'
'-x+1/2,-y,z+1/2'
'-x,y,z'
'x+1/2,-y,z+1/2'
loop_
_atom_site_label
_atom_site_type_symbol
_atom_site_fract_x
_atom_site_fract_y
_atom_site_fract_z
Y1 Y 0.000 0.246 0.000
Y2 Y 0.205 0.812 0.742
Mo1 Mo 0.000 0.164 0.501
Mo2 Mo 0.113 0.674 0.321